No. 1
FeTeMoH: relaxed, GGA-PBE.

## Properties
Density of states at the Fermi level ... 1.63 states/eV/cell
Distance to the lowest polymorph of the same formula ... 113 meV per atom
DFT total energy ... -0.4506 Ry/atom

Lattice parameters (Å, degrees): 3.082 3.739 6.066 78.44 75.52 65.94
Site moments in Bohr magnetons follow the coordinates.
Fractional coordinates of all 4 atoms:
H 0.149 0.627 0.265  0.00
Te 0.231 0.999 0.717  -0.02
Mo 0.778 0.571 0.054  -0.35
Fe 0.418 0.066 0.272  1.17



No. 2
K2InTe: relaxed, GGA-PBE.

## Properties
Density of states at the Fermi level ... 0.46 states/eV/cell
Distance to the lowest polymorph of the same formula ... 95 meV per atom
DFT total energy ... -0.1819 Ry/atom

Lattice parameters (Å, degrees): 6.415 6.415 6.415 131.62 131.51 70.92
Site moments in Bohr magnetons follow the coordinates.
Fractional coordinates of all 4 atoms:
In 0.250 0.750 0.500  0.18
Te 0.750 0.250 0.500  0.02
K 0.000 0.000 0.000  0.03
K 0.500 0.500 0.000  0.03



Number 1: density 7.58 g/cm3. Number 2: density 3.68 g/cm3.